[1]
Computed, not measured: a relaxed structure of RbEr2AgO4 at the PBE level of DFT.

Summary:
The value obtained for the total energy is -6.49 eV per atom. Its crystal system is hexagonal.

The structure in CIF format:
```
data_RbEr2AgO4
_chemical_formula_sum 'Rb1 Er2 Ag1 O4'
_cell_length_a 3.4556
_cell_length_b 3.4556
_cell_length_c 13.4367
_cell_angle_alpha 90.00
_cell_angle_beta 90.00
_cell_angle_gamma 120.00
_space_group_name_H-M_alt 'P -6 m 2'
_space_group_IT_number 187
_space_group_name_Hall 'P -6 2'
loop_
_atom_site_label
_atom_site_type_symbol
_atom_site_fract_x
_atom_site_fract_y
_atom_site_fract_z
Rb1 Rb 0.0000 0.0000 0.0000
Er1 Er 0.6667 0.3333 0.2697
Ag1 Ag 0.3333 0.6667 0.5000
O1 O 0.0000 0.0000 0.1873
O2 O 0.3333 0.6667 0.3461
```

[2]
Computed, not measured: a relaxed structure of CsSm4As3 at the PBE level of DFT.

Summary:
The value obtained for the total energy is -5.04 eV per atom. Its crystal system is tetragonal.

The structure in CIF format:
```
data_CsSm4As3
_chemical_formula_sum 'Cs1 Sm4 As3'
_cell_length_a 4.973
_cell_length_b 4.973
_cell_length_c 11.274
_cell_angle_alpha 90.00
_cell_angle_beta 90.00
_cell_angle_gamma 90.00
_space_group_name_H-M_alt 'P 4/m m m'
_space_group_IT_number 123
_space_group_name_Hall '-P 4 2'
loop_
_atom_site_label
_atom_site_type_symbol
_atom_site_fract_x
_atom_site_fract_y
_atom_site_fract_z
Cs1 Cs 0.000 0.000 0.000
Sm1 Sm 0.000 0.500 0.341
As1 As 0.000 0.000 0.500
As2 As 0.500 0.500 0.207
```

[3]
Computed, not measured: a relaxed structure of FePW4C2 at the PBE level of DFT.

Summary:
The value obtained for the total energy is -10.34 eV per atom. Its crystal system is hexagonal.

The structure in CIF format:
```
data_FePW4C2
_chemical_formula_sum 'Fe1 P1 W4 C2'
_cell_length_a 3.0849
_cell_length_b 3.0849
_cell_length_c 12.4234
_cell_angle_alpha 90.00
_cell_angle_beta 90.00
_cell_angle_gamma 120.00
_space_group_name_H-M_alt 'P -6 m 2'
_space_group_IT_number 187
_space_group_name_Hall 'P -6 2'
loop_
_atom_site_label
_atom_site_type_symbol
_atom_site_fract_x
_atom_site_fract_y
_atom_site_fract_z
Fe1 Fe 0.0000 0.0000 0.0000
P1 P 0.6667 0.3333 0.5000
W1 W 0.0000 0.0000 0.3545
W2 W 0.6667 0.3333 0.1632
C1 C 0.3333 0.6667 0.2554
```

[4]
Computed, not measured: a relaxed structure of Cu3PbSe4 at the PBE level of DFT.

Summary:
The value obtained for the total energy is -3.82 eV per atom. Its crystal system is tetragonal.

The structure in CIF format:
```
data_Cu3PbSe4
_chemical_formula_sum 'Cu6 Pb2 Se8'
_cell_length_a 5.752
_cell_length_b 5.752
_cell_length_c 11.426
_cell_angle_alpha 90.00
_cell_angle_beta 90.00
_cell_angle_gamma 90.00
_space_group_name_H-M_alt 'I -4 2 m'
_space_group_IT_number 121
_space_group_name_Hall 'I -4 2'
loop_
_atom_site_label
_atom_site_type_symbol
_atom_site_fract_x
_atom_site_fract_y
_atom_site_fract_z
Cu1 Cu 0.000 0.000 0.000
Cu2 Cu 0.000 0.500 0.250
Pb1 Pb 0.000 0.000 0.500
Se1 Se 0.223 0.223 0.138
```

[5]
Computed, not measured: a relaxed structure of Nd3Dy2ErCoSe2 at the PBE level of DFT.

Summary:
The value obtained for the total energy is -5.48 eV per atom. Its crystal system is orthorhombic.

The structure in CIF format:
```
data_Nd3Dy2ErCoSe2
_chemical_formula_sum 'Nd6 Dy4 Er2 Co2 Se4'
_cell_length_a 3.892
_cell_length_b 14.191
_cell_length_c 8.204
_cell_angle_alpha 90.00
_cell_angle_beta 90.00
_cell_angle_gamma 90.00
_space_group_name_H-M_alt 'A m m 2'
_space_group_IT_number 38
_space_group_name_Hall 'A 2 -2'
loop_
_atom_site_label
_atom_site_type_symbol
_atom_site_fract_x
_atom_site_fract_y
_atom_site_fract_z
Nd1 Nd 0.000 0.000 0.000
Nd2 Nd 0.000 0.206 0.380
Dy1 Dy 0.500 0.119 0.705
Er1 Er 0.500 0.000 0.350
Co1 Co 0.000 0.000 0.584
Se1 Se 0.500 0.166 0.087
```

[6]
Computed, not measured: a relaxed structure of Y3In3NiIr2 at the PBE level of DFT.

Summary:
The value obtained for the total energy is -6.32 eV per atom. Its crystal system is hexagonal.

The structure in CIF format:
```
data_Y3In3NiIr2
_chemical_formula_sum 'Y3 In3 Ni1 Ir2'
_cell_length_a 7.5397
_cell_length_b 7.5397
_cell_length_c 3.8375
_cell_angle_alpha 90.00
_cell_angle_beta 90.00
_cell_angle_gamma 120.00
_space_group_name_H-M_alt 'P -6 2 m'
_space_group_IT_number 189
_space_group_name_Hall 'P -6 -2'
loop_
_atom_site_label
_atom_site_type_symbol
_atom_site_fract_x
_atom_site_fract_y
_atom_site_fract_z
Y1 Y 0.0000 0.5887 0.0000
In1 In 0.0000 0.2484 0.5000
Ni1 Ni 0.0000 0.0000 0.0000
Ir1 Ir 0.3333 0.6667 0.5000
```

[7]
Computed, not measured: a relaxed structure of LuTlCoRe at the PBE level of DFT.

Summary:
The value obtained for the total energy is -6.04 eV per atom. Its crystal system is cubic. As for the energy above the most stable polymorph in this dataset: 0 meV/atom.

The structure in CIF format:
```
data_LuTlCoRe
_chemical_formula_sum 'Lu4 Tl4 Co4 Re4'
_cell_length_a 6.608
_cell_length_b 6.608
_cell_length_c 6.608
_cell_angle_alpha 90.00
_cell_angle_beta 90.00
_cell_angle_gamma 90.00
_space_group_name_H-M_alt 'F -4 3 m'
_space_group_IT_number 216
_space_group_name_Hall 'F -4 2 3'
loop_
_atom_site_label
_atom_site_type_symbol
_atom_site_fract_x
_atom_site_fract_y
_atom_site_fract_z
Lu1 Lu 0.000 0.000 0.000
Tl1 Tl 0.000 0.000 0.500
Co1 Co 0.250 0.250 0.750
Re1 Re 0.250 0.250 0.250
```

[8]
Computed, not measured: a relaxed structure of Nb2CoC at the PBE level of DFT.

Summary:
The value obtained for the total energy is -9.33 eV per atom. Its crystal system is monoclinic.

The structure in CIF format:
```
data_Nb2CoC
_chemical_formula_sum 'Nb24 Co12 C12'
_cell_length_a 9.283
_cell_length_b 5.347
_cell_length_c 13.367
_cell_angle_alpha 90.00
_cell_angle_beta 103.71
_cell_angle_gamma 90.00
_space_group_name_H-M_alt 'C 1 2/c 1'
_space_group_IT_number 15
_space_group_name_Hall '-C 2yc'
loop_
_atom_site_label
_atom_site_type_symbol
_atom_site_fract_x
_atom_site_fract_y
_atom_site_fract_z
Nb1 Nb 0.046 0.083 0.389
Nb2 Nb 0.114 0.414 0.593
Nb3 Nb 0.220 0.416 0.907
Co1 Co 0.000 0.447 0.750
Co2 Co 0.233 0.148 0.750
C1 C 0.081 0.241 0.000
C2 C 0.250 0.250 0.500
```